No. 1
PuAlRuO6 | GGA-PBE | optimized geometry

Output
**Symmetry**: P-31c (163)
**Total moment**: 2.0 μB per cell
**D(E_F)**: 12.455 states/eV/cell
**Uncorrected energy**: -8.38 eV/atom
**Formation energy from raw total energies**: -18.35 eV/f.u.

a b c (Å): 5.170 5.170 8.680
angles (deg): 90.00 90.00 120.00
Each line ends with the local moment (μB).
Sites, in units of the cell vectors:
Pu: 0.667 0.333 0.750  3.06
Al: 0.333 0.667 0.750  0.00
O: 0.682 0.655 0.129  -0.13
O: 0.682 0.027 0.371  -0.13
O: 0.345 0.027 0.129  -0.13
O: 0.345 0.318 0.371  -0.13
O: 0.318 0.345 0.871  -0.13
O: 0.318 0.973 0.629  -0.13
O: 0.027 0.345 0.629  -0.13
Ru: 0.000 0.000 0.500  -1.17
O: 0.655 0.973 0.871  -0.13
O: 0.973 0.655 0.371  -0.13
Al: 0.667 0.333 0.250  0.00
O: 0.655 0.682 0.629  -0.13
O: 0.973 0.318 0.129  -0.13
Ru: 0.000 0.000 0.000  -1.17
Pu: 0.333 0.667 0.250  3.06
O: 0.027 0.682 0.871  -0.13


No. 2
SrPuAl2O8 | GGA-PBE | optimized geometry

Output
**Symmetry**: I-4m2 (119)
**Total moment**: 0.0 μB per cell
**D(E_F)**: 0.425 states/eV/cell
**Uncorrected energy**: -7.51 eV/atom
**Formation energy from raw total energies**: -26.97 eV/f.u.

a b c (Å): 5.937 5.937 5.937
angles (deg): 106.96 106.96 114.63
Each line ends with the local moment (μB).
Sites, in units of the cell vectors:
O: 0.333 0.538 0.205  0.03
O: 0.462 0.667 0.795  0.03
O: 0.872 0.667 0.205  0.03
Al: 0.500 0.500 0.000  0.00
O: 0.714 0.047 0.667  0.06
Pu: 0.250 0.750 0.500  -0.44
O: 0.380 0.047 0.333  0.06
Al: 0.750 0.250 0.500  0.00
O: 0.333 0.128 0.795  0.03
O: 0.953 0.286 0.333  0.06
Sr: 0.000 0.000 0.000  0.01
O: 0.953 0.620 0.667  0.06


Q: What is the total moment in the first record?
A: 2.0 μB per cell


Q: The lowest uncorrected energy belongs to which entry?
A: PuAlRuO6